A plane-wave DFT calculation with PBE+U was carried out for crystalline Mg3FeSi2O8 at its relaxed geometry.

a = 4.839 Å, b = 10.384 Å, c = 7.721 Å
α = 90.00°, β = 128.31°, γ = 90.00°
Space group P2_1/c (No. 14)
Symmetry-distinct sites (fractional):
Mg (0.000, 0.000, 0.000)
Mg (0.257, 0.222, 0.749)
Fe (0.500, 0.000, 0.500)
Si (0.181, 0.596, 0.253)
O (0.040, 0.052, 0.753)
O (0.176, 0.167, 0.462)
O (0.247, 0.663, 0.471)
O (0.480, 0.095, 0.246)

Summary:
* size of the total moment: 8.0 μB/cell
* electronic total energy: -6.980 eV per atom